{"formula": "Re2SiAg", "functional": "meta-GGA SCAN", "state": "PBEsol geometry", "magnetic_moment_mub_per_atom": 0.0000, "dos_ef_per_ev_cell": 2.426, "sg": "Cmm2 (35)", "e_form_raw_ev_per_atom": 0.4184, "lattice_angstrom": [[-2.2700, 0.3216, -1.4880], [-0.0976, -1.8652, 1.9955], [-2.8812, 6.3128, 5.7597]], "species": ["Ag", "Re", "Re", "Si"], "frac_coords": [[0.5000, 0.5000, 0.2602], [0.0000, 0.0000, 0.9826], [0.5000, 0.5000, 0.7427], [0.0000, 0.0000, 0.5145]]}